This record from Alexandria via LeMat-Bulk describes crystalline ZrReBr2 at its relaxed geometry. The functional is PBE-GGA.

Cell: 9.8497 9.8497 9.8497 Å, 20.09 20.09 20.09°
With the nearest neighbours (Å) after each atom.
Fractional positions:
1 Re 0.4914 0.4914 0.4914  3 Zr 2.74, 3 Br 2.78
2 Br 0.0233 0.0233 0.0233  3 Zr 2.83
3 Br 0.2256 0.2256 0.2256  3 Re 2.78
4 Zr 0.7597 0.7597 0.7597  3 Re 2.74, 3 Br 2.83

Computed properties:
Magnetization (μB per formula unit): 0.00
Theoretical density (Mg/m³): 7.4
Excess energy over the best structure of this formula in the dataset (meV/atom): 82.3
Formation energy from raw total energies (eV per formula unit): -0.6